[1]
DFT (PBE) results for a geometry-optimized CuS2ClF structure.

Cell: 4.013 4.013 6.448 Å, 90.00 90.00 90.00°
Last column: magnetic moment on the atom in μB.
Element x y z (fractional)
Cu: 0.500 0.500 0.500  0.12
F: 0.000 0.000 0.000  0.01
S: 0.500 0.000 0.000  0.10
Cl: 0.000 0.000 0.500  0.03
S: 0.000 0.500 0.000  0.10

Calculated values
formation energy without anion corrections: 0.66 eV per atom
DFT total energy: -0.0937 hartree per atom
D(E_F): 1.258 states/eV/atom
theoretical density: 2.913 g cm⁻³
energy relative to the lowest polymorph listed for this composition: 217 meV per atom

***

[2]
DFT (PBE) results for a geometry-optimized CuSCl2F structure.

Cell: 5.398 5.398 3.545 Å, 90.00 90.00 90.00°
Element x y z (fractional)
Cl: 0.000 0.500 0.000
Cl: 0.500 0.000 0.000
Cu: 0.500 0.500 0.500
S: 0.000 0.000 0.500
F: 0.000 0.000 0.000

Calculated values
formation energy without anion corrections: 0.48 eV per atom
DFT total energy: -0.0836 hartree per atom
D(E_F): 1.539 states/eV/atom
theoretical density: 2.982 g cm⁻³
energy relative to the lowest polymorph listed for this composition: 263 meV per atom

***

[3]
DFT (PBE) results for a geometry-optimized CuS2ClF structure.

Cell: 4.594 4.594 4.586 Å, 90.00 90.00 90.00°
Last column: magnetic moment on the atom in μB.
Element x y z (fractional)
Cu: 0.000 0.000 0.000  0.09
F: 0.500 0.500 0.500  0.40
S: 0.000 0.500 0.000  0.75
Cl: 0.000 0.000 0.500  0.15
S: 0.500 0.000 0.000  0.75

Calculated values
formation energy without anion corrections: 0.45 eV per atom
DFT total energy: -0.1017 hartree per atom
D(E_F): 0.905 states/eV/atom
theoretical density: 3.125 g cm⁻³
energy relative to the lowest polymorph listed for this composition: 0 meV per atom

***

[4]
DFT (PBE) results for a geometry-optimized CuSCl2F structure.

Cell: 4.592 4.592 4.746 Å, 90.00 90.00 90.00°
Last column: magnetic moment on the atom in μB.
Element x y z (fractional)
Cl: 0.500 0.000 0.000  0.18
Cl: 0.000 0.500 0.000  0.18
S: 0.000 0.000 0.500  1.01
F: 0.500 0.500 0.500  0.49
Cu: 0.000 0.000 0.000  0.09

Calculated values
formation energy without anion corrections: 0.22 eV per atom
DFT total energy: -0.0932 hartree per atom
D(E_F): 1.287 states/eV/atom
theoretical density: 3.078 g cm⁻³
energy relative to the lowest polymorph listed for this composition: 0 meV per atom

***

[5]
DFT (PBE) results for a geometry-optimized Cu3SnCl2F6 structure.

Cell: 4.838 6.293 7.065 Å, 116.45 94.28 90.00°
Last column: magnetic moment on the atom in μB.
Element x y z (fractional)
Cu: 0.000 0.500 0.000  0.33
Cu: 0.500 0.000 0.500  0.25
Cl: 0.221 0.676 0.353  0.05
Cl: 0.779 0.324 0.647  0.05
Sn: 0.500 0.000 0.000  0.00
F: 0.752 0.829 0.121  0.01
F: 0.317 0.139 0.278  0.02
Cu: 0.500 0.500 0.500  0.25
F: 0.248 0.171 0.879  0.01
F: 0.752 0.292 0.121  0.01
F: 0.683 0.861 0.722  0.02
F: 0.248 0.708 0.879  0.01

Calculated values
formation energy without anion corrections: -1.52 eV per atom
DFT total energy: -0.1515 hartree per atom
D(E_F): 0.614 states/eV/atom
theoretical density: 4.276 g cm⁻³

***

[6]
DFT (PBE) results for a geometry-optimized Sr3CuCl2F6 structure.

Cell: 5.384 7.431 7.333 Å, 120.44 83.84 90.00°
Last column: magnetic moment on the atom in μB.
Element x y z (fractional)
Cl: 0.885 0.286 0.573  0.01
Cl: 0.115 0.714 0.427  0.01
F: 0.300 0.194 0.866  0.04
F: 0.700 0.328 0.134  0.04
Cu: 0.500 0.000 0.000  0.69
Sr: 0.500 0.500 0.500  0.00
F: 0.300 0.672 0.866  0.04
Sr: 0.500 0.000 0.500  0.00
F: 0.700 0.806 0.134  0.04
F: 0.362 0.143 0.285  0.06
Sr: 0.000 0.500 0.000  0.00
F: 0.638 0.857 0.715  0.06

Calculated values
formation energy without anion corrections: -2.80 eV per atom
DFT total energy: -0.1765 hartree per atom
theoretical density: 3.383 g cm⁻³

***

[7]
DFT (PBE) results for a geometry-optimized Cu3TcCl2F6 structure.

Cell: 4.805 5.799 7.608 Å, 112.40 92.99 90.00°
Last column: magnetic moment on the atom in μB.
Element x y z (fractional)
Cl: 0.195 0.697 0.394  -0.02
F: 0.327 0.122 0.243  0.06
F: 0.249 0.198 0.901  0.04
F: 0.249 0.703 0.901  0.04
Tc: 0.500 0.000 0.000  2.26
Cu: 0.500 0.500 0.500  -0.16
F: 0.673 0.878 0.757  0.06
Cu: 0.000 0.500 0.000  -0.35
Cl: 0.805 0.303 0.606  -0.02
F: 0.751 0.802 0.099  0.04
F: 0.751 0.297 0.099  0.04
Cu: 0.500 0.000 0.500  -0.16

Calculated values
formation energy without anion corrections: -1.39 eV per atom
DFT total energy: -0.1662 hartree per atom
D(E_F): 0.565 states/eV/atom
theoretical density: 4.018 g cm⁻³

***

[8]
DFT (PBE) results for a geometry-optimized Tl3Cu2Cl4F2 structure.

Cell: 4.696 4.696 12.598 Å, 100.74 100.74 90.00°
Element x y z (fractional)
Tl: 0.196 0.196 0.391
F: 0.700 0.700 0.399
Tl: 0.804 0.804 0.609
Cl: 0.905 0.405 0.811
Cl: 0.095 0.595 0.189
Cl: 0.405 0.905 0.811
F: 0.300 0.300 0.601
Cu: 0.613 0.613 0.226
Cl: 0.595 0.095 0.189
Cu: 0.387 0.387 0.774
Tl: 0.000 0.000 0.000

Calculated values
formation energy without anion corrections: -1.01 eV per atom
DFT total energy: -0.1255 hartree per atom
D(E_F): 0.422 states/eV/atom
theoretical density: 5.702 g cm⁻³

***

[9]
DFT (PBE) results for a geometry-optimized Tl2CuCl2F2 structure.

Cell: 4.477 4.477 8.303 Å, 105.64 105.64 90.00°
Last column: magnetic moment on the atom in μB.
Element x y z (fractional)
Tl: 0.625 0.625 0.250  0.01
F: 0.500 0.000 0.000  0.09
Cl: 0.150 0.150 0.299  0.07
F: 0.000 0.500 0.000  0.09
Tl: 0.375 0.375 0.750  0.01
Cu: 0.000 0.000 0.000  0.60
Cl: 0.850 0.850 0.701  0.07

Calculated values
formation energy without anion corrections: -1.22 eV per atom
DFT total energy: -0.1303 hartree per atom
D(E_F): 0.256 states/eV/atom
theoretical density: 6.274 g cm⁻³

***

[10]
DFT (PBE) results for a geometry-optimized Tl2CuCl3F structure.

Cell: 4.159 5.108 8.743 Å, 106.98 103.76 90.00°
Last column: magnetic moment on the atom in μB.
Element x y z (fractional)
F: 0.500 0.000 0.000  0.10
Tl: 0.644 0.644 0.289  0.01
Cl: 0.854 0.854 0.707  0.08
Tl: 0.356 0.356 0.711  0.01
Cl: 0.000 0.500 0.000  0.09
Cl: 0.146 0.146 0.293  0.08
Cu: 0.000 0.000 0.000  0.59

Calculated values
formation energy without anion corrections: -1.00 eV per atom
DFT total energy: -0.1219 hartree per atom
D(E_F): 0.207 states/eV/atom
theoretical density: 5.768 g cm⁻³

***

[11]
DFT (PBE) results for a geometry-optimized TlCuCl2F structure.

Cell: 4.978 4.978 4.035 Å, 90.00 90.00 90.00°
Element x y z (fractional)
Cu: 0.000 0.000 0.000
Tl: 0.500 0.500 0.500
F: 0.000 0.000 0.500
Cl: 0.500 0.000 0.000
Cl: 0.000 0.500 0.000

Calculated values
formation energy without anion corrections: -0.99 eV per atom
DFT total energy: -0.1247 hartree per atom
D(E_F): 0.324 states/eV/atom
theoretical density: 5.941 g cm⁻³

***

Question: What is the formula in the fourth record?
Answer: CuSCl2F